No. 1
NaInHg2: relaxed, PBE.

POSCAR file:
```
NaInHg2
1.0
1.716 0.991 10.263
-1.716 0.991 10.263
0.000 -1.982 10.263
Na In Hg
1 1 2
Direct
0.000 0.000 0.000
0.167 0.167 0.167
0.414 0.414 0.414
0.586 0.586 0.586
```

Total moment   0.00 μB per formula unit
Density   8.55 g cm⁻³
DFT total energy   -1.269 eV per atom

---

No. 2
Na2In6Hg3: relaxed, PBE.

POSCAR file:
```
Na2In6Hg3
1.0
8.872 0.000 0.000
-4.436 7.683 0.000
0.000 0.000 4.657
Na In Hg
2 6 3
Direct
0.333 0.667 0.000
0.667 0.333 0.000
0.000 0.272 0.500
0.000 0.796 0.000
0.204 0.204 0.000
0.272 0.000 0.500
0.728 0.728 0.500
0.796 0.000 0.000
0.000 0.590 0.500
0.410 0.410 0.500
0.590 0.000 0.500
```

Total moment   0.00 μB per formula unit
Density   6.99 g cm⁻³
DFT total energy   -1.900 eV per atom

---

No. 3
Na2In5Hg: relaxed, PBE.

POSCAR file:
```
Na2In5Hg
1.0
6.655 0.000 0.000
0.000 13.402 0.000
0.000 0.000 4.650
Na In Hg
4 10 2
Direct
0.227 0.118 0.000
0.273 0.618 0.000
0.727 0.382 0.000
0.773 0.882 0.000
0.000 0.500 0.500
0.020 0.748 0.500
0.231 0.370 0.000
0.269 0.870 0.000
0.480 0.248 0.500
0.500 0.000 0.500
0.520 0.752 0.500
0.731 0.130 0.000
0.769 0.630 0.000
0.980 0.252 0.500
0.000 0.000 0.500
0.500 0.500 0.500
```

Total moment   0.00 μB per formula unit
Density   6.57 g cm⁻³
DFT total energy   -2.185 eV per atom

---

No. 4
NaIn6Hg12: relaxed, PBE.

POSCAR file:
```
NaIn6Hg12
1.0
6.954 4.015 3.184
-6.954 4.015 3.184
0.000 -8.030 3.184
Na In Hg
1 6 12
Direct
0.000 0.000 0.000
0.273 0.693 0.693
0.307 0.307 0.727
0.307 0.727 0.307
0.693 0.273 0.693
0.693 0.693 0.273
0.727 0.307 0.307
0.109 0.500 0.891
0.109 0.891 0.500
0.125 0.354 0.354
0.354 0.125 0.354
0.354 0.354 0.125
0.500 0.109 0.891
0.500 0.891 0.109
0.646 0.646 0.875
0.646 0.875 0.646
0.875 0.646 0.646
0.891 0.109 0.500
0.891 0.500 0.109
```

Total moment   0.00 μB per formula unit
Energy above the lowest structure with this stoichiometry   26.7 meV per atom
Density   9.71 g cm⁻³

---

No. 5
Na2In3Hg8: relaxed, PBE.

POSCAR file:
```
Na2In3Hg8
1.0
6.208 -5.415 0.000
6.208 5.415 0.000
-1.568 0.000 5.131
Na In Hg
2 3 8
Direct
0.202 0.202 0.348
0.798 0.798 0.652
0.254 0.746 0.000
0.500 0.500 0.500
0.746 0.254 0.000
0.071 0.071 0.780
0.096 0.585 0.360
0.345 0.345 0.925
0.415 0.904 0.640
0.585 0.096 0.360
0.655 0.655 0.075
0.904 0.415 0.640
0.929 0.929 0.220
```

Total moment   0.00 μB per formula unit
Energy above the lowest structure with this stoichiometry   0.0 meV per atom
Density   9.60 g cm⁻³

---

No. 6
Na2InHg4: relaxed, PBE.

POSCAR file:
```
Na2InHg4
1.0
-2.782 2.782 8.028
2.782 -2.782 8.028
2.782 2.782 -8.028
Na In Hg
2 1 4
Direct
0.115 0.115 0.000
0.885 0.885 0.000
0.500 0.500 0.000
0.000 0.500 0.500
0.302 0.302 0.000
0.500 0.000 0.500
0.698 0.698 0.000
```

Total moment   0.00 μB per formula unit
Energy above the lowest structure with this stoichiometry   126.2 meV per atom
Density   6.43 g cm⁻³

---

No. 7
Na4In3Hg: relaxed, PBE.

POSCAR file:
```
Na4In3Hg
1.0
3.462 0.000 0.000
0.000 5.107 0.000
0.000 0.000 12.471
Na In Hg
4 3 1
Direct
0.000 0.000 0.000
0.000 0.500 0.334
0.500 0.000 0.494
0.500 0.500 0.836
0.000 0.000 0.729
0.000 0.500 0.601
0.500 0.500 0.105
0.500 0.000 0.234
```

Total moment   0.00 μB per formula unit
Density   4.80 g cm⁻³
DFT total energy   -1.859 eV per atom

---

No. 8
NaIn8Hg2: relaxed, PBE.

POSCAR file:
```
NaIn8Hg2
1.0
8.524 -3.140 0.000
8.524 3.140 0.000
-0.501 0.000 5.649
Na In Hg
1 8 2
Direct
0.000 0.000 0.000
0.156 0.664 0.454
0.257 0.257 0.586
0.336 0.844 0.546
0.405 0.405 0.968
0.595 0.595 0.032
0.664 0.156 0.454
0.743 0.743 0.414
0.844 0.336 0.546
0.189 0.189 0.065
0.811 0.811 0.935
```

Total moment   0.00 μB per formula unit
Energy above the lowest structure with this stoichiometry   0.0 meV per atom
Density   7.37 g cm⁻³

---

No. 9
NaIn2Hg8: relaxed, PBE.

POSCAR file:
```
NaIn2Hg8
1.0
8.354 -2.442 0.000
8.354 2.442 0.000
-2.074 0.000 7.046
Na In Hg
1 2 8
Direct
0.000 0.000 0.000
0.272 0.272 0.355
0.728 0.728 0.645
0.091 0.091 0.456
0.181 0.181 0.910
0.366 0.366 0.818
0.455 0.455 0.267
0.545 0.545 0.733
0.634 0.634 0.182
0.819 0.819 0.090
0.909 0.909 0.544
```

Total moment   0.00 μB per formula unit
Energy above the lowest structure with this stoichiometry   0.0 meV per atom
Density   10.73 g cm⁻³

---

No. 10
Na3InHg: relaxed, PBE.

POSCAR file:
```
Na3InHg
1.0
5.974 0.000 0.000
0.000 5.974 0.000
0.000 0.000 5.974
Na In Hg
3 1 1
Direct
0.000 0.000 0.500
0.000 0.500 0.000
0.500 0.000 0.000
0.000 0.000 0.000
0.500 0.500 0.500
```

Total moment   0.00 μB per formula unit
Energy above the lowest structure with this stoichiometry   269.9 meV per atom
Density   2.99 g cm⁻³

---

No. 11
NaInHg2: relaxed, PBE.

POSCAR file:
```
NaInHg2
1.0
4.858 0.000 0.000
0.000 4.858 0.000
0.000 0.000 4.300
Na In Hg
1 1 2
Direct
0.000 0.000 0.000
0.500 0.500 0.000
0.000 0.500 0.500
0.500 0.000 0.500
```

Total moment   0.00 μB per formula unit
Density   8.82 g cm⁻³
DFT total energy   -1.315 eV per atom

---

No. 12
Na3In6Hg5: relaxed, PBE.

POSCAR file:
```
Na3In6Hg5
1.0
5.117 0.000 0.000
0.000 13.697 0.000
0.000 0.000 10.815
Na In Hg
6 12 10
Direct
0.250 0.036 0.248
0.250 0.464 0.248
0.250 0.750 0.247
0.750 0.250 0.753
0.750 0.536 0.752
0.750 0.964 0.752
0.250 0.086 0.910
0.250 0.250 0.113
0.250 0.250 0.440
0.250 0.414 0.910
0.250 0.595 0.513
0.250 0.905 0.513
0.750 0.095 0.487
0.750 0.405 0.487
0.750 0.586 0.090
0.750 0.750 0.560
0.750 0.750 0.887
0.750 0.914 0.090
0.250 0.102 0.644
0.250 0.398 0.644
0.250 0.630 0.970
0.250 0.750 0.717
0.250 0.870 0.970
0.750 0.130 0.030
0.750 0.250 0.283
0.750 0.370 0.030
0.750 0.602 0.356
0.750 0.898 0.356
```

Total moment   0.00 μB per formula unit
Density   7.71 g cm⁻³
DFT total energy   -1.665 eV per atom

---

No. 13
NaIn10Hg2: relaxed, PBE.

POSCAR file:
```
NaIn10Hg2
1.0
0.000 7.676 7.888
3.032 0.000 7.888
3.032 7.676 0.000
Na In Hg
1 10 2
Direct
0.000 0.000 0.000
0.000 0.000 0.500
0.001 0.357 0.643
0.293 0.497 0.503
0.357 0.001 0.999
0.497 0.293 0.707
0.500 0.500 0.000
0.503 0.707 0.293
0.643 0.999 0.001
0.707 0.503 0.497
0.999 0.643 0.357
0.000 0.500 0.000
0.500 0.000 0.500
```

Total moment   0.00 μB per formula unit
Density   7.11 g cm⁻³
DFT total energy   -2.234 eV per atom

---

No. 14
Na2In4Hg5: relaxed, PBE.

POSCAR file:
```
Na2In4Hg5
1.0
5.291 0.000 0.000
0.000 31.718 0.000
0.000 0.000 3.464
Na In Hg
4 8 10
Direct
0.246 0.196 0.000
0.254 0.696 0.000
0.746 0.304 0.000
0.754 0.804 0.000
0.090 0.955 0.000
0.240 0.365 0.000
0.260 0.865 0.000
0.410 0.455 0.000
0.590 0.545 0.000
0.740 0.135 0.000
0.760 0.635 0.000
0.910 0.045 0.000
0.000 0.500 0.500
0.215 0.603 0.500
0.247 0.779 0.500
0.253 0.279 0.500
0.285 0.103 0.500
0.500 0.000 0.500
0.715 0.897 0.500
0.747 0.721 0.500
0.753 0.221 0.500
0.785 0.397 0.500
```

Total moment   0.00 μB per formula unit
Energy above the lowest structure with this stoichiometry   5.1 meV per atom
Density   8.62 g cm⁻³

---

No. 15
NaIn2Hg4: relaxed, PBE.

POSCAR file:
```
NaIn2Hg4
1.0
2.914 -6.954 0.000
2.914 6.954 0.000
0.000 0.000 5.031
Na In Hg
1 2 4
Direct
0.000 0.000 0.000
0.395 0.605 0.500
0.605 0.395 0.500
0.147 0.853 0.500
0.284 0.716 0.000
0.716 0.284 0.000
0.853 0.147 0.500
```

Total moment   0.00 μB per formula unit
Energy above the lowest structure with this stoichiometry   0.0 meV per atom
Density   8.59 g cm⁻³

---

No. 16
Na4In4Hg: relaxed, PBE.

POSCAR file:
```
Na4In4Hg
1.0
-2.594 2.594 10.350
2.594 -2.594 10.350
2.594 2.594 -10.350
Na In Hg
4 4 1
Direct
0.170 0.170 0.554
0.384 0.830 0.000
0.616 0.616 0.446
0.830 0.384 0.000
0.019 0.573 0.000
0.427 0.427 0.446
0.573 0.019 0.000
0.981 0.981 0.554
0.000 0.000 0.000
```

Total moment   0.00 μB per formula unit
Density   4.48 g cm⁻³
DFT total energy   -1.893 eV per atom

---

No. 17
NaIn4Hg7: relaxed, PBE.

POSCAR file:
```
NaIn4Hg7
1.0
6.064 0.000 0.000
-0.064 6.364 0.000
-1.653 -2.383 8.147
Na In Hg
1 4 7
Direct
0.000 0.000 0.000
0.197 0.263 0.690
0.320 0.457 0.330
0.680 0.543 0.670
0.803 0.737 0.310
0.000 0.500 0.000
0.157 0.755 0.644
0.318 0.964 0.337
0.473 0.752 0.984
0.527 0.248 0.016
0.682 0.036 0.663
0.843 0.245 0.356
```

Total moment   0.00 μB per formula unit
Energy above the lowest structure with this stoichiometry   0.0 meV per atom
Density   9.96 g cm⁻³

---

No. 18
Na2In2Hg: relaxed, PBE.

POSCAR file:
```
Na2In2Hg
1.0
0.000 2.487 11.512
2.337 0.000 11.512
2.337 2.487 0.000
Na In Hg
2 2 1
Direct
0.096 0.096 0.904
0.904 0.904 0.096
0.299 0.299 0.701
0.701 0.701 0.299
0.500 0.500 0.500
```

Total moment   0.00 μB per formula unit
Energy above the lowest structure with this stoichiometry   0.0 meV per atom
Density   5.91 g cm⁻³

---

No. 19
Na2In2Hg: relaxed, PBE.

POSCAR file:
```
Na2In2Hg
1.0
7.561 0.000 0.000
0.000 7.561 0.000
0.000 0.000 5.028
Na In Hg
4 4 2
Direct
0.169 0.331 0.000
0.331 0.831 0.000
0.669 0.169 0.000
0.831 0.669 0.000
0.137 0.637 0.500
0.363 0.137 0.500
0.637 0.863 0.500
0.863 0.363 0.500
0.000 0.000 0.500
0.500 0.500 0.500
```

Total moment   0.00 μB per formula unit
Energy above the lowest structure with this stoichiometry   77.7 meV per atom
Density   5.50 g cm⁻³

---

No. 20
Na3In3Hg5: relaxed, PBE.

POSCAR file:
```
Na3In3Hg5
1.0
10.597 0.000 0.000
-5.299 9.178 0.000
0.000 0.000 3.199
Na In Hg
3 3 5
Direct
0.000 0.414 0.000
0.414 0.000 0.000
0.586 0.586 0.000
0.000 0.676 0.500
0.324 0.324 0.500
0.676 0.000 0.500
0.000 0.171 0.500
0.171 0.000 0.500
0.333 0.667 0.500
0.667 0.333 0.500
0.829 0.829 0.500
```

Total moment   0.00 μB per formula unit
Density   7.56 g cm⁻³
DFT total energy   -1.328 eV per atom

---

No. 21
Na2InHg8: relaxed, PBE.

POSCAR file:
```
Na2InHg8
1.0
4.377 -7.432 0.000
4.377 7.432 0.000
-4.151 0.000 4.576
Na In Hg
2 1 8
Direct
0.191 0.809 0.000
0.809 0.191 0.000
0.500 0.500 0.500
0.097 0.097 0.863
0.179 0.410 0.685
0.275 0.725 0.500
0.410 0.179 0.685
0.590 0.821 0.315
0.725 0.275 0.500
0.821 0.590 0.315
0.903 0.903 0.137
```

Total moment   0.00 μB per formula unit
Energy above the lowest structure with this stoichiometry   13.1 meV per atom
Density   9.85 g cm⁻³